Entry from Alexandria via LeMat-Bulk: a PBEsol-optimized structure of HgSbMo2 (SCAN).

Cell: 3.314 4.539 4.787 Å, 90.00 90.00 90.00°
Space group Pmmm (No. 47)
Asymmetric unit:
1 Hg 0.000 0.000 0.000
2 Sb 0.500 0.000 0.500
3 Mo 0.000 0.500 0.500
4 Mo 0.500 0.500 0.000

Output
The value obtained for the uncorrected formation energy is 700 meV per atom. As for the excess energy over the best structure of this formula in the dataset: 147 kJ/mol of formula units.

---

Entry from Alexandria via LeMat-Bulk: a PBEsol-optimized structure of HgSb2Mo (SCAN).

Cell: 3.707 5.108 8.875 Å, 90.00 90.00 90.00°
Space group Immm (No. 71)
Asymmetric unit:
1 Hg 0.000 0.000 0.000
2 Sb 0.000 0.500 0.241
3 Mo 0.000 0.000 0.500

Output
The value obtained for the uncorrected formation energy is 609 meV per atom. As for the excess energy over the best structure of this formula in the dataset: 81 kJ/mol of formula units.

---

Entry from Alexandria via LeMat-Bulk: a PBEsol-optimized structure of HgSbMo2 (SCAN).

Cell: 3.1394 3.1394 27.6408 Å, 90.00 90.00 120.00°
Space group R3m (No. 160, hexagonal axes)
Asymmetric unit:
1 Hg 0.0000 0.0000 0.0000
2 Sb 0.0000 0.0000 0.2316
3 Mo 0.0000 0.0000 0.4813
4 Mo 0.0000 0.0000 0.7523

Output
The value obtained for the uncorrected formation energy is 320 meV per atom. As for the excess energy over the best structure of this formula in the dataset: 0 kJ/mol of formula units.

---

Entry from Alexandria via LeMat-Bulk: a PBEsol-optimized structure of Hg2SbMo (SCAN).

Cell: 2.883 4.859 13.254 Å, 90.00 90.00 90.00°
Space group Imm2 (No. 44)
Asymmetric unit:
1 Hg 0.000 0.000 0.000
2 Hg 0.000 0.500 0.163
3 Sb 0.000 0.000 0.363
4 Mo 0.000 0.500 0.687

Output
The value obtained for the uncorrected formation energy is 380 meV per atom.

---

Entry from Alexandria via LeMat-Bulk: a PBEsol-optimized structure of Hg2SbMo (SCAN).

Cell: 4.020 4.020 9.825 Å, 90.00 90.00 90.00°
Space group I4/mmm (No. 139)
Asymmetric unit:
1 Hg 0.000 0.500 0.250
2 Sb 0.000 0.000 0.000
3 Mo 0.000 0.000 0.500

Output
The value obtained for the uncorrected formation energy is 588 meV per atom.

---

Entry from Alexandria via LeMat-Bulk: a PBEsol-optimized structure of HgSb2Mo (SCAN).

Cell: 3.623 4.955 9.927 Å, 90.00 90.00 90.00°
Space group Cmm2 (No. 35)
Asymmetric unit:
1 Hg 0.000 0.000 0.000
2 Sb 0.000 0.000 0.575
3 Sb 0.000 0.500 0.247
4 Mo 0.000 0.500 0.779

Output
The value obtained for the uncorrected formation energy is 497 meV per atom. As for the excess energy over the best structure of this formula in the dataset: 38 kJ/mol of formula units.

---

Entry from Alexandria via LeMat-Bulk: a PBEsol-optimized structure of HgSb2Mo (SCAN).

Cell: 4.601 3.536 10.393 Å, 90.00 90.00 90.00°
Space group Amm2 (No. 38)
Asymmetric unit:
1 Hg 0.000 0.000 0.000
2 Sb 0.000 0.000 0.265
3 Sb 0.500 0.000 0.548
4 Mo 0.500 0.000 0.831

Output
The value obtained for the uncorrected formation energy is 399 meV per atom. As for the excess energy over the best structure of this formula in the dataset: 0 kJ/mol of formula units.

---

Entry from Alexandria via LeMat-Bulk: a PBEsol-optimized structure of HgSb2Mo (SCAN).

Cell: 6.204 7.635 3.487 Å, 90.00 90.00 90.00°
Space group Cmmm (No. 65)
Asymmetric unit:
1 Hg 0.000 0.000 0.000
2 Sb 0.250 0.250 0.500
3 Mo 0.000 0.500 0.000

Output
The value obtained for the uncorrected formation energy is 644 meV per atom. As for the excess energy over the best structure of this formula in the dataset: 95 kJ/mol of formula units.

---

Entry from Alexandria via LeMat-Bulk: a PBEsol-optimized structure of HgMo2Se (SCAN).

Cell: 4.523 3.010 10.312 Å, 90.00 90.00 90.00°
Space group Amm2 (No. 38)
Asymmetric unit:
1 Hg 0.000 0.000 0.000
2 Mo 0.000 0.000 0.259
3 Mo 0.500 0.000 0.659
4 Se 0.500 0.000 0.352

Output
The value obtained for the uncorrected formation energy is 384 meV per atom. As for the excess energy over the best structure of this formula in the dataset: 0 kJ/mol of formula units.

---

Entry from Alexandria via LeMat-Bulk: a PBEsol-optimized structure of Hg2MoSe (SCAN).

Cell: 3.039 3.039 8.716 Å, 90.00 90.00 90.00°
Space group P4mm (No. 99)
Asymmetric unit:
1 Hg 0.000 0.000 0.000
2 Hg 0.500 0.500 0.282
3 Mo 0.000 0.000 0.510
4 Se 0.500 0.500 0.672

Output
The value obtained for the uncorrected formation energy is 78 meV per atom.

---

Entry from Alexandria via LeMat-Bulk: a PBEsol-optimized structure of HgMo2Se (SCAN).

Cell: 3.220 4.567 4.637 Å, 90.00 90.00 90.00°
Space group Pmmm (No. 47)
Asymmetric unit:
1 Hg 0.000 0.000 0.000
2 Mo 0.000 0.500 0.500
3 Mo 0.500 0.500 0.000
4 Se 0.500 0.000 0.500

Output
The value obtained for the uncorrected formation energy is 781 meV per atom. As for the excess energy over the best structure of this formula in the dataset: 153 kJ/mol of formula units.

---

Entry from Alexandria via LeMat-Bulk: a PBEsol-optimized structure of HgMo4Se (SCAN).

Cell: 7.434 7.434 7.434 Å, 90.00 90.00 90.00°
Space group F-43m (No. 216)
Asymmetric unit:
1 Hg 0.000 0.000 0.000
2 Mo 0.126 0.126 0.374
3 Se 0.250 0.250 0.750

Output
The value obtained for the uncorrected formation energy is 710 meV per atom.